Crystalline RbBWBr2 at its relaxed geometry. Source: Alexandria via LeMat-Bulk, functional PBE-GGA.

Calculated values
The density of states at the Fermi level is 1.4856 states/eV/atom.

Cell and atoms, written as extended XYZ:
```
5
Lattice="-3.380 -2.593 2.496 1.653 -6.070 -4.068 3.430 -1.285 3.311" Properties=species:S:1:pos:R:3 pbc="T T T"
B 0.851 -4.974 0.870
Br 1.715 -0.642 1.655
Br -1.690 -1.296 1.248
Rb 0.827 -3.035 -2.034
W 0.000 0.000 0.000
```


Crystalline Rb2YBBr6 at its relaxed geometry. Source: Alexandria via LeMat-Bulk, functional PBE-GGA.

Calculated values
The density of states at the Fermi level is 0.0000 states/eV/atom.

Cell and atoms, written as extended XYZ:
```
10
Lattice="7.846 0.000 0.000 0.000 7.846 0.000 3.923 3.923 5.550" Properties=species:S:1:pos:R:3 pbc="T T T"
Y 0.000 0.000 0.000
B 3.923 3.923 0.000
Br 3.923 3.923 2.749
Br 7.846 7.846 2.801
Br 1.980 1.980 0.000
Br 5.866 5.866 0.000
Br 5.866 1.980 0.000
Br 1.980 5.866 0.000
Rb 7.846 3.923 2.775
Rb 3.923 7.846 2.775
```


Crystalline Rb2ZnBBr6 at its relaxed geometry. Source: Alexandria via LeMat-Bulk, functional PBE-GGA.

Calculated values
The density of states at the Fermi level is 0.2385 states/eV/atom.

Cell and atoms, written as extended XYZ:
```
10
Lattice="7.307 0.000 0.000 0.000 7.307 0.000 3.654 3.654 5.430" Properties=species:S:1:pos:R:3 pbc="T T T"
Zn 0.000 0.000 0.000
B 3.654 3.654 0.000
Br 3.654 3.654 2.930
Br 7.307 7.307 2.500
Br 2.005 2.005 0.000
Br 5.302 5.302 0.000
Br 5.302 2.005 0.000
Br 2.005 5.302 0.000
Rb 7.307 3.654 2.715
Rb 3.654 7.307 2.715
```


Number 1: formation energy without anion corrections 1.427 eV per atom, mass density 4.0 g/cm3. Number 2: formation energy without anion corrections -1.130 eV per atom, mass density 3.6 g/cm3. Number 3: formation energy without anion corrections -0.697 eV per atom, mass density 4.2 g/cm3.